# 1
18
Lattice="5.643 0.000 0.000 -2.822 4.887 0.000 0.000 0.000 8.729" Properties=species:S:1:pos:R:3 comment="GGA-PBE HfPaZnO6, relaxed" e_tot_ev_per_cell=-147.57 spacegroup="P-31c (163)" magmom_total_mub_per_cell=1.93 dos_ef_per_ev_cell=11.7 pbc="T T T"
Hf 0.000 3.258 2.182
Hf 2.822 1.629 6.547
Pa 0.000 3.258 6.547
Pa 2.822 1.629 2.182
Zn 0.000 0.000 0.000
Zn 0.000 0.000 4.365
O -0.905 1.692 1.136
O -1.809 3.257 3.229
O 0.905 1.692 3.229
O -0.904 4.825 1.136
O 1.918 0.062 5.500
O 1.013 1.630 7.594
O 1.809 3.257 1.136
O 0.904 4.825 3.229
O 3.725 0.062 7.594
O 1.917 3.195 5.500
O 4.630 1.630 5.500
O 3.726 3.195 7.594

***

# 2
12
Lattice="-3.381 3.381 3.417 3.381 -3.381 3.417 3.381 3.381 -3.417" Properties=species:S:1:pos:R:3 comment="GGA-PBE HfPaZn2O8, relaxed" e_tot_ev_per_cell=-86.70 spacegroup="I-4m2 (119)" magmom_total_mub_per_cell=2.23 dos_ef_per_ev_cell=10.7 pbc="T T T"
Hf 0.000 0.000 0.000
Pa 0.000 3.381 1.709
Zn 3.381 0.000 1.709
Zn 0.000 0.000 3.417
O 2.070 0.000 0.327
O 4.693 0.000 0.327
O 3.381 2.139 -1.465
O 3.381 -1.312 3.090
O 0.000 1.243 1.952
O 3.381 1.312 3.090
O 2.139 3.381 1.465
O 1.243 0.000 4.882

***

# 3
5
Lattice="4.512 0.000 0.000 0.000 4.512 0.000 0.000 0.000 4.512" Properties=species:S:1:pos:R:3 comment="GGA-PBE Hf3PbO, relaxed" e_tot_ev_per_cell=-42.46 spacegroup="Pm-3m (221)" magmom_total_mub_per_cell=0.00 dos_ef_per_ev_cell=3.6 pbc="T T T"
Hf 0.000 0.000 2.256
Hf 0.000 2.256 0.000
Hf 2.256 0.000 0.000
Pb 2.256 2.256 2.256
O 0.000 0.000 0.000

***

# 4
4
Lattice="0.000 3.347 3.347 3.347 0.000 3.347 3.347 3.347 0.000" Properties=species:S:1:pos:R:3 comment="GGA-PBE Hf2PbO, relaxed" e_tot_ev_per_cell=-29.06 spacegroup="Fm-3m (225)" magmom_total_mub_per_cell=0.00 dos_ef_per_ev_cell=3.8 pbc="T T T"
Hf 1.674 1.674 1.674
Hf 5.021 5.021 5.021
Pb 0.000 0.000 0.000
O 3.347 3.347 3.347

***

# 5
4
Lattice="1.737 1.003 7.062 -1.737 1.003 7.062 0.000 -2.006 7.062" Properties=species:S:1:pos:R:3 comment="GGA-PBE Hf2PbO, relaxed" e_tot_ev_per_cell=-32.50 spacegroup="R-3m (166)" magmom_total_mub_per_cell=0.00 dos_ef_per_ev_cell=2.1 pbc="T T T"
Hf 0.000 0.000 4.623
Hf 0.000 0.000 16.562
Pb 0.000 0.000 0.000
O 0.000 0.000 10.593

***

# 6
5
Lattice="4.904 0.000 0.000 0.000 4.904 0.000 0.000 0.000 4.904" Properties=species:S:1:pos:R:3 comment="GGA-PBE HfPb3O, relaxed" e_tot_ev_per_cell=-26.14 spacegroup="Pm-3m (221)" magmom_total_mub_per_cell=0.00 dos_ef_per_ev_cell=4.0 pbc="T T T"
Hf 0.000 0.000 0.000
Pb 0.000 2.452 2.452
Pb 2.452 0.000 2.452
Pb 2.452 2.452 0.000
O 2.452 2.452 2.452

***

# 7
5
Lattice="5.644 0.000 0.000 0.000 5.644 0.000 0.000 0.000 5.644" Properties=species:S:1:pos:R:3 comment="GGA-PBE HfPb3O, relaxed" e_tot_ev_per_cell=-21.68 spacegroup="Pm-3m (221)" magmom_total_mub_per_cell=0.00 dos_ef_per_ev_cell=13.9 pbc="T T T"
Hf 0.000 0.000 0.000
Pb 0.000 0.000 2.822
Pb 0.000 2.822 0.000
Pb 2.822 0.000 0.000
O 2.822 2.822 2.822

***

# 8
8
Lattice="-3.395 3.395 3.446 3.395 -3.395 3.446 3.395 3.395 -3.446" Properties=species:S:1:pos:R:3 comment="GGA-PBE Hf2PbO, relaxed" e_tot_ev_per_cell=-66.20 spacegroup="I-42d (122)" magmom_total_mub_per_cell=0.00 dos_ef_per_ev_cell=1.6 pbc="T T T"
Hf 5.093 0.872 -0.862
Hf 0.872 1.698 0.862
Hf -1.698 2.524 2.585
Hf 2.524 1.698 4.308
Pb 3.395 0.000 1.723
Pb 0.000 0.000 3.446
O 0.000 0.000 0.000
O 0.000 3.395 1.723

***

# 9
5
Lattice="5.354 0.000 0.000 0.000 5.354 0.000 0.000 0.000 5.354" Properties=species:S:1:pos:R:3 comment="GGA-PBE Hf3PbO, relaxed" e_tot_ev_per_cell=-28.76 spacegroup="Pm-3m (221)" magmom_total_mub_per_cell=2.82 dos_ef_per_ev_cell=7.7 pbc="T T T"
Hf 0.000 0.000 2.677
Hf 0.000 2.677 0.000
Hf 2.677 0.000 0.000
Pb 0.000 0.000 0.000
O 2.677 2.677 2.677

***

# 10
20
Lattice="5.780 0.000 0.000 0.000 5.738 0.000 -5.759 0.000 8.112" Properties=species:S:1:pos:R:3 comment="GGA-PBE HfPdPb2O6, relaxed" e_tot_ev_per_cell=-135.77 spacegroup="P2_1/c (14)" magmom_total_mub_per_cell=0.00 pbc="T T T"
Hf 0.000 0.000 0.000
Hf -2.880 2.869 4.056
Pd 0.011 0.000 4.056
Pd 2.890 2.869 0.000
Pb -2.832 0.068 6.091
Pb 0.047 2.801 2.035
Pb -0.026 2.937 6.077
Pb 2.853 5.670 2.021
O -0.334 0.021 2.048
O -3.214 2.848 6.104
O 1.353 4.180 0.274
O -1.526 4.427 4.331
O 1.571 1.341 0.263
O -1.309 1.528 4.319
O 1.330 4.210 3.793
O -1.550 4.397 7.849
O 1.547 1.311 3.782
O -1.332 1.558 7.838
O 3.235 2.890 2.008
O 0.355 5.717 6.064

***

# 11
14
Lattice="-3.045 3.192 5.587 3.045 -3.192 5.587 3.045 3.192 -5.587" Properties=species:S:1:pos:R:3 comment="GGA-PBE HfPdPbO4, relaxed" e_tot_ev_per_cell=-102.87 spacegroup="Imma (74)" magmom_total_mub_per_cell=0.00 pbc="T T T"
Hf 0.000 0.000 0.000
Hf 0.000 3.192 0.000
Pd -1.522 1.596 2.793
Pd 1.522 1.596 2.793
Pb 3.045 1.596 -1.802
Pb 0.000 1.596 7.389
O 1.322 1.596 -0.250
O 1.722 -1.596 5.337
O 0.000 0.310 2.142
O 3.045 0.310 3.445
O 0.000 2.882 2.142
O 3.045 2.882 3.445
O 1.322 4.788 0.250
O 1.722 1.596 5.837

***

# 12
10
Lattice="5.516 0.000 0.000 0.000 5.516 0.000 0.000 0.000 5.714" Properties=species:S:1:pos:R:3 comment="GGA-PBE Pm2HfPbO6, relaxed" e_tot_ev_per_cell=-79.99 spacegroup="P4mm (99)" magmom_total_mub_per_cell=0.00 pbc="T T T"
Pm 0.000 2.758 0.000
Pm 2.758 0.000 0.000
Hf 0.000 0.000 3.567
Pb 2.758 2.758 3.159
O 0.000 0.000 1.583
O 1.297 1.297 4.441
O 1.297 4.219 4.441
O 2.758 2.758 0.820
O 4.219 1.297 4.441
O 4.219 4.219 4.441